## Ho5ZrBi4 (PBE)

Data for a relaxed Ho5ZrBi4 crystal. Values from VASP.

Values from the calculation:
energy	-5.13	eV/atom
formation enthalpy at 0 K	-435	meV/atom
space-group type	C2/m, No. 12

Structure (Quantum ESPRESSO input):
```
&SYSTEM
  ibrav = 0, nat = 10, ntyp = 3
/
ATOMIC_SPECIES
Ho 164.93 Ho.upf
Zr 91.22 Zr.upf
Bi 208.98 Bi.upf
CELL_PARAMETERS angstrom
-1.509 -1.768 -3.610
5.683 3.168 -3.928
1.920 -9.327 6.318
ATOMIC_POSITIONS crystal
Ho 0.813 0.711 0.626
Ho 0.802 0.219 0.605
Ho 0.198 0.781 0.395
Ho 0.500 0.500 0.000
Ho 0.187 0.289 0.374
Zr 0.500 0.000 0.000
Bi 0.371 0.059 0.741
Bi 0.940 0.667 0.881
Bi 0.629 0.941 0.259
Bi 0.060 0.333 0.119
```

---

## Ho2ZrBi (PBE)

Data for a relaxed Ho2ZrBi crystal. Values from VASP.

Values from the calculation:
energy	-5.62	eV/atom
formation enthalpy at 0 K	-225	meV/atom
space-group type	P4/mmm, No. 123
energy above the lowest structure with this stoichiometry	35.0	meV/atom

Structure (Quantum ESPRESSO input):
```
&SYSTEM
  ibrav = 0, nat = 4, ntyp = 3
/
ATOMIC_SPECIES
Bi 208.98 Bi.upf
Zr 91.22 Zr.upf
Ho 164.93 Ho.upf
CELL_PARAMETERS angstrom
4.615 0.000 0.000
0.000 4.793 0.000
0.000 0.000 4.793
ATOMIC_POSITIONS crystal
Bi 0.500 0.500 0.500
Zr 0.500 0.000 0.000
Ho 0.000 0.000 0.500
Ho 0.000 0.500 0.000
```

---

## Ho2ZrBi (PBE)

Data for a relaxed Ho2ZrBi crystal. Values from VASP.

Values from the calculation:
energy	-5.33	eV/atom
formation enthalpy at 0 K	67	meV/atom
space-group type	R-3m, No. 166
energy above the lowest structure with this stoichiometry	327.1	meV/atom

Structure (Quantum ESPRESSO input):
```
&SYSTEM
  ibrav = 0, nat = 4, ntyp = 3
/
ATOMIC_SPECIES
Bi 208.98 Bi.upf
Zr 91.22 Zr.upf
Ho 164.93 Ho.upf
CELL_PARAMETERS angstrom
3.441 0.000 0.000
1.721 2.980 0.000
1.721 0.993 11.612
ATOMIC_POSITIONS crystal
Bi 0.000 0.000 0.000
Zr 0.500 0.500 0.500
Ho 0.092 0.092 0.725
Ho 0.908 0.908 0.275
```

---

## BiI (PBE)

Data for a relaxed BiI crystal. Values from VASP.

Values from the calculation:
energy	-2.15	eV/atom
space-group type	Pm-3n, No. 223
energy relative to the elements, uncorrected	0.56	eV/atom
energy above the lowest structure with this stoichiometry	853.8	meV/atom

Structure (Quantum ESPRESSO input):
```
&SYSTEM
  ibrav = 0, nat = 12, ntyp = 2
/
ATOMIC_SPECIES
Bi 208.98 Bi.upf
I 126.90 I.upf
CELL_PARAMETERS angstrom
-7.726 -4.160 3.036
5.147 -6.064 4.791
-0.163 5.670 7.351
ATOMIC_POSITIONS crystal
Bi 0.250 0.500 0.000
Bi 0.750 0.500 0.000
Bi 0.500 0.000 0.250
Bi 0.500 0.000 0.750
Bi 0.000 0.250 0.500
Bi 0.000 0.750 0.500
I 0.250 0.000 0.500
I 0.750 0.000 0.500
I 0.000 0.500 0.250
I 0.000 0.500 0.750
I 0.500 0.250 0.000
I 0.500 0.750 0.000
```

---

Please write out number 4 again, unchanged.
## BiI (PBE)

Data for a relaxed BiI crystal. Values from VASP.

Values from the calculation:
energy	-2.15	eV/atom
space-group type	Pm-3n, No. 223
energy relative to the elements, uncorrected	0.56	eV/atom
energy above the lowest structure with this stoichiometry	853.8	meV/atom

Structure (Quantum ESPRESSO input):
```
&SYSTEM
  ibrav = 0, nat = 12, ntyp = 2
/
ATOMIC_SPECIES
Bi 208.98 Bi.upf
I 126.90 I.upf
CELL_PARAMETERS angstrom
-7.726 -4.160 3.036
5.147 -6.064 4.791
-0.163 5.670 7.351
ATOMIC_POSITIONS crystal
Bi 0.250 0.500 0.000
Bi 0.750 0.500 0.000
Bi 0.500 0.000 0.250
Bi 0.500 0.000 0.750
Bi 0.000 0.250 0.500
Bi 0.000 0.750 0.500
I 0.250 0.000 0.500
I 0.750 0.000 0.500
I 0.000 0.500 0.250
I 0.000 0.500 0.750
I 0.500 0.250 0.000
I 0.500 0.750 0.000
```

---

What is the formula in the first record? Ho5ZrBi4

---

Copy entry 1 word for word.
## Ho5ZrBi4 (PBE)

Data for a relaxed Ho5ZrBi4 crystal. Values from VASP.

Values from the calculation:
energy	-5.13	eV/atom
formation enthalpy at 0 K	-435	meV/atom
space-group type	C2/m, No. 12

Structure (Quantum ESPRESSO input):
```
&SYSTEM
  ibrav = 0, nat = 10, ntyp = 3
/
ATOMIC_SPECIES
Ho 164.93 Ho.upf
Zr 91.22 Zr.upf
Bi 208.98 Bi.upf
CELL_PARAMETERS angstrom
-1.509 -1.768 -3.610
5.683 3.168 -3.928
1.920 -9.327 6.318
ATOMIC_POSITIONS crystal
Ho 0.813 0.711 0.626
Ho 0.802 0.219 0.605
Ho 0.198 0.781 0.395
Ho 0.500 0.500 0.000
Ho 0.187 0.289 0.374
Zr 0.500 0.000 0.000
Bi 0.371 0.059 0.741
Bi 0.940 0.667 0.881
Bi 0.629 0.941 0.259
Bi 0.060 0.333 0.119
```